A geometry-optimized CuHgSeS structure, computed with PBE.

The structure in extended XYZ format:
```
4
Lattice="4.028 0.000 0.000 2.014 3.488 0.000 2.014 1.163 6.724" Properties=species:S:1:pos:R:3 pbc="T T T"
Hg 2.014 1.163 4.708
Cu 4.028 2.326 1.348
Se 6.042 3.488 0.630
S 4.028 2.326 3.600
```

Computed properties:
density of states at the Fermi level	0.596	states/eV/atom
space group	No. 160
final energy	-3.12	eV/atom
energy relative to the elements, uncorrected	-0.46	eV per formula unit

A geometry-optimized BaSbTe2S structure, computed with PBE.

The structure in extended XYZ format:
```
5
Lattice="6.641 0.000 0.000 0.000 6.641 0.000 0.000 0.000 6.798" Properties=species:S:1:pos:R:3 pbc="T T T"
Te 3.320 0.000 0.000
Te 0.000 3.320 0.000
Sb 0.000 0.000 3.399
S 3.320 3.320 3.399
Ba 0.000 0.000 0.000
```

Computed properties:
density of states at the Fermi level	1.581	states/eV/atom
space group	No. 123
final energy	-2.39	eV/atom
energy relative to the elements, uncorrected	4.48	eV per formula unit
E above lowest polymorph	1284	meV per atom

A geometry-optimized Li5Os structure, computed with PBE.

The structure in extended XYZ format:
```
6
Lattice="2.388 -4.135 0.000 2.388 4.135 0.000 0.000 0.000 4.418" Properties=species:S:1:pos:R:3 pbc="T T T"
Li 2.388 -1.378 2.209
Li 1.635 -2.831 0.000
Li 1.635 2.831 0.000
Li 2.388 1.378 2.209
Li 1.506 0.000 0.000
Os 0.000 0.000 2.209
```

Computed properties:
density of states at the Fermi level	0.446	states/eV/atom
ΔE_f	0.35	eV/atom
space group	No. 189
final energy	-3.11	eV/atom
E above lowest polymorph	225	meV per atom

Q: density of states at the Fermi level of number 1 (CuHgSeS)?
A: 0.596 states/eV/atom